# PBE InTc2Br, optimized geometry
# Calculated volume: 17.34 Å³/atom
# Formation energy from raw total energies: 0.67 eV/atom
# Fermi-level density of states: 5.30 states/eV/f.u.
data_InTc2Br
_cell_length_a 3.0465
_cell_length_b 3.0465
_cell_length_c 25.8893
_cell_angle_alpha 90.00
_cell_angle_beta 90.00
_cell_angle_gamma 120.00
_symmetry_space_group_name_H-M 'R -3 m'
_symmetry_Int_Tables_number 166
_symmetry_space_group_name_Hall '-R 3 2"'
loop_
_atom_site_label
_atom_site_type_symbol
_atom_site_fract_x
_atom_site_fract_y
_atom_site_fract_z
In1 In 0.0000 0.0000 0.0000
Tc1 Tc 0.0000 0.0000 0.2463
Br1 Br 0.0000 0.0000 0.5000



# PBE InTcBr4, optimized geometry
# Calculated volume: 31.01 Å³/atom
# Formation energy from raw total energies: 0.89 eV/atom
# Fermi-level density of states: 6.34 states/eV/f.u.
data_InTcBr4
_cell_length_a 9.0621
_cell_length_b 9.0621
_cell_length_c 9.0621
_cell_angle_alpha 90.00
_cell_angle_beta 90.00
_cell_angle_gamma 90.00
_symmetry_space_group_name_H-M 'F -4 3 m'
_symmetry_Int_Tables_number 216
_symmetry_space_group_name_Hall 'F -4 2 3'
loop_
_atom_site_label
_atom_site_type_symbol
_atom_site_fract_x
_atom_site_fract_y
_atom_site_fract_z
In1 In 0.0000 0.0000 0.0000
Tc1 Tc 0.2500 0.2500 0.7500
Br1 Br 0.1238 0.1238 0.3762



# PBE In2TcBr, optimized geometry
# Calculated volume: 21.58 Å³/atom
# Formation energy from raw total energies: 0.74 eV/atom
# Fermi-level density of states: 6.47 states/eV/f.u.
data_In2TcBr
_cell_length_a 7.0151
_cell_length_b 7.0151
_cell_length_c 7.0151
_cell_angle_alpha 90.00
_cell_angle_beta 90.00
_cell_angle_gamma 90.00
_symmetry_space_group_name_H-M 'F -4 3 m'
_symmetry_Int_Tables_number 216
_symmetry_space_group_name_Hall 'F -4 2 3'
loop_
_atom_site_label
_atom_site_type_symbol
_atom_site_fract_x
_atom_site_fract_y
_atom_site_fract_z
In1 In 0.0000 0.0000 0.0000
In2 In 0.2500 0.2500 0.2500
Tc1 Tc 0.2500 0.2500 0.7500
Br1 Br 0.0000 0.0000 0.5000



# PBE InTcBr, optimized geometry
# Calculated volume: 23.95 Å³/atom
# Formation energy from raw total energies: 0.79 eV/atom
# Fermi-level density of states: 2.02 states/eV/f.u.
data_InTcBr
_cell_length_a 6.5996
_cell_length_b 6.5996
_cell_length_c 6.5996
_cell_angle_alpha 90.00
_cell_angle_beta 90.00
_cell_angle_gamma 90.00
_symmetry_space_group_name_H-M 'F -4 3 m'
_symmetry_Int_Tables_number 216
_symmetry_space_group_name_Hall 'F -4 2 3'
loop_
_atom_site_label
_atom_site_type_symbol
_atom_site_fract_x
_atom_site_fract_y
_atom_site_fract_z
In1 In 0.0000 0.0000 0.0000
Tc1 Tc 0.2500 0.2500 0.7500
Br1 Br 0.0000 0.0000 0.5000



# PBE In3TcBr, optimized geometry
# Calculated volume: 29.60 Å³/atom
# Formation energy from raw total energies: 0.17 eV/atom
# Fermi-level density of states: 4.59 states/eV/f.u.
data_In3TcBr
_cell_length_a 5.2897
_cell_length_b 5.2897
_cell_length_c 5.2897
_cell_angle_alpha 90.00
_cell_angle_beta 90.00
_cell_angle_gamma 90.00
_symmetry_space_group_name_H-M 'P m -3 m'
_symmetry_Int_Tables_number 221
_symmetry_space_group_name_Hall '-P 4 2 3'
loop_
_atom_site_label
_atom_site_type_symbol
_atom_site_fract_x
_atom_site_fract_y
_atom_site_fract_z
In1 In 0.0000 0.0000 0.5000
Tc1 Tc 0.0000 0.0000 0.0000
Br1 Br 0.5000 0.5000 0.5000



# PBE InTc2Br, optimized geometry
# Calculated volume: 23.95 Å³/atom
# Formation energy from raw total energies: 0.66 eV/atom
# Fermi-level density of states: 2.74 states/eV/f.u.
data_InTc2Br
_cell_length_a 3.6939
_cell_length_b 4.8172
_cell_length_c 5.4257
_cell_angle_alpha 90.00
_cell_angle_beta 97.03
_cell_angle_gamma 90.00
_symmetry_space_group_name_H-M 'P 1 2/m 1'
_symmetry_Int_Tables_number 10
_symmetry_space_group_name_Hall '-P 2y'
loop_
_atom_site_label
_atom_site_type_symbol
_atom_site_fract_x
_atom_site_fract_y
_atom_site_fract_z
In1 In 0.0000 0.0000 0.0000
Tc1 Tc 0.3072 0.5000 0.1389
Br1 Br 0.5000 0.0000 0.5000



# PBE InTc2Br, optimized geometry
# Calculated volume: 18.27 Å³/atom
# Formation energy from raw total energies: 0.84 eV/atom
# Fermi-level density of states: 4.05 states/eV/f.u.
data_InTc2Br
_cell_length_a 3.0074
_cell_length_b 5.3485
_cell_length_c 9.0852
_cell_angle_alpha 90.00
_cell_angle_beta 90.00
_cell_angle_gamma 90.00
_symmetry_space_group_name_H-M 'C m m m'
_symmetry_Int_Tables_number 65
_symmetry_space_group_name_Hall '-C 2 2'
loop_
_atom_site_label
_atom_site_type_symbol
_atom_site_fract_x
_atom_site_fract_y
_atom_site_fract_z
In1 In 0.0000 0.0000 0.0000
Tc1 Tc 0.0000 0.5000 0.2575
Br1 Br 0.0000 0.0000 0.5000



# PBE V2InTcBr, optimized geometry
# Calculated volume: 28.25 Å³/atom
# Formation energy from raw total energies: 0.91 eV/atom
# Fermi-level density of states: 8.32 states/eV/f.u.
data_V2InTcBr
_cell_length_a 4.9839
_cell_length_b 4.9839
_cell_length_c 5.6867
_cell_angle_alpha 90.00
_cell_angle_beta 90.00
_cell_angle_gamma 90.00
_symmetry_space_group_name_H-M 'P 4/m m m'
_symmetry_Int_Tables_number 123
_symmetry_space_group_name_Hall '-P 4 2'
loop_
_atom_site_label
_atom_site_type_symbol
_atom_site_fract_x
_atom_site_fract_y
_atom_site_fract_z
V1 V 0.0000 0.5000 0.0000
In1 In 0.0000 0.0000 0.5000
Tc1 Tc 0.0000 0.0000 0.0000
Br1 Br 0.5000 0.5000 0.5000